[1]
! CePmCo PBE relaxed; values from VASP
! polymorph energy (0 for the lowest one)	21.32	kJ per mole of atoms
! energy of formation from the pure elements	0.07	eV/atom
! total energy	-17.59	eV for the cell shown
! Fermi-level density of states	6.5	states/eV/cell
&SYSTEM
  ibrav = 0, nat = 3, ntyp = 3
/
ATOMIC_SPECIES
Pm 145.00 Pm.upf
Ce 140.12 Ce.upf
Co 58.93 Co.upf
CELL_PARAMETERS angstrom
4.742 0.000 0.000
2.371 4.106 0.000
2.371 1.369 3.871
ATOMIC_POSITIONS angstrom
Pm 4.742 2.738 1.936
Ce 0.000 0.000 0.000
Co 2.371 1.369 0.968

[2]
! CePm2Co9 PBE relaxed; values from VASP
! energy of formation from the pure elements	-0.09	eV/atom
! total energy	-80.53	eV for the cell shown
! Fermi-level density of states	18.1	states/eV/cell
&SYSTEM
  ibrav = 0, nat = 12, ntyp = 3
/
ATOMIC_SPECIES
Co 58.93 Co.upf
Pm 145.00 Pm.upf
Ce 140.12 Ce.upf
CELL_PARAMETERS angstrom
-3.421 2.890 -2.184
-4.184 -2.019 -1.801
-6.249 1.439 6.011
ATOMIC_POSITIONS angstrom
Co -6.784 -0.297 -1.132
Co -6.404 2.154 -1.323
Co -7.070 2.607 3.158
Co -4.695 0.711 -0.233
Co -6.927 1.155 1.013
Co -8.782 1.729 4.680
Co -7.451 0.155 3.349
Co -9.159 1.598 2.259
Co -5.072 0.581 -2.653
Pm -4.695 0.958 2.939
Pm -9.160 1.351 -0.913
Ce 0.000 0.000 0.000

[3]
! Ce2PmCo PBE relaxed; values from VASP
! polymorph energy (0 for the lowest one)	10.96	kJ per mole of atoms
! energy of formation from the pure elements	0.00	eV/atom
! total energy	-23.72	eV for the cell shown
! Fermi-level density of states	9.7	states/eV/cell
&SYSTEM
  ibrav = 0, nat = 4, ntyp = 3
/
ATOMIC_SPECIES
Ce 140.12 Ce.upf
Co 58.93 Co.upf
Pm 145.00 Pm.upf
CELL_PARAMETERS angstrom
3.501 0.000 0.000
0.000 3.501 0.000
0.000 0.000 8.275
ATOMIC_POSITIONS angstrom
Ce 0.000 0.000 6.846
Ce 0.000 0.000 1.429
Co 1.751 1.751 0.000
Pm 1.751 1.751 4.137

[4]
! CePmCo PBE relaxed; values from VASP
! polymorph energy (0 for the lowest one)	0.00	kJ per mole of atoms
! energy of formation from the pure elements	-0.15	eV/atom
! total energy	-73.01	eV for the cell shown
! Fermi-level density of states	18.5	states/eV/cell
&SYSTEM
  ibrav = 0, nat = 12, ntyp = 3
/
ATOMIC_SPECIES
Co 58.93 Co.upf
Pm 145.00 Pm.upf
Ce 140.12 Ce.upf
CELL_PARAMETERS angstrom
6.830 0.000 0.000
0.000 6.220 0.369
0.000 -0.601 6.790
ATOMIC_POSITIONS angstrom
Co 3.408 5.444 1.531
Co 0.007 5.144 4.926
Co 3.422 0.175 5.628
Co 6.823 0.475 2.233
Pm 2.369 2.211 1.402
Pm 5.784 3.709 2.362
Pm 1.046 1.910 4.797
Pm 4.461 3.408 5.757
Ce 2.019 5.122 3.551
Ce 5.434 0.797 0.213
Ce 1.396 4.822 6.946
Ce 4.811 0.496 3.608

[5]
! Ce2PmCo PBE relaxed; values from VASP
! polymorph energy (0 for the lowest one)	23.46	kJ per mole of atoms
! energy of formation from the pure elements	0.13	eV/atom
! total energy	-23.21	eV for the cell shown
! Fermi-level density of states	9.8	states/eV/cell
&SYSTEM
  ibrav = 0, nat = 4, ntyp = 3
/
ATOMIC_SPECIES
Pm 145.00 Pm.upf
Ce 140.12 Ce.upf
Co 58.93 Co.upf
CELL_PARAMETERS angstrom
3.603 0.000 0.000
1.801 3.120 0.000
1.801 1.040 9.844
ATOMIC_POSITIONS angstrom
Pm 0.000 0.000 0.000
Ce 1.801 1.040 6.564
Ce 5.404 3.120 3.280
Co 3.603 2.080 4.922

[6]
! Ce2PmCoPt PBE relaxed; values from VASP
! energy of formation from the pure elements	-0.27	eV/atom
! total energy	-31.13	eV for the cell shown
! Fermi-level density of states	9.7	states/eV/cell
&SYSTEM
  ibrav = 0, nat = 5, ntyp = 4
/
ATOMIC_SPECIES
Pm 145.00 Pm.upf
Ce 140.12 Ce.upf
Co 58.93 Co.upf
Pt 195.08 Pt.upf
CELL_PARAMETERS angstrom
4.888 0.000 0.000
0.000 4.888 0.000
0.000 0.000 5.762
ATOMIC_POSITIONS angstrom
Pm 0.000 4.888 2.774
Ce 0.000 2.444 5.443
Ce 2.444 4.889 5.443
Co 0.000 0.000 5.699
Pt 2.444 2.445 3.689

[7]
! CePmCoRh PBE relaxed; values from VASP
! energy of formation from the pure elements	-0.33	eV/atom
! total energy	-26.48	eV for the cell shown
! Fermi-level density of states	4.5	states/eV/cell
&SYSTEM
  ibrav = 0, nat = 4, ntyp = 4
/
ATOMIC_SPECIES
Pm 145.00 Pm.upf
Rh 102.91 Rh.upf
Co 58.93 Co.upf
Ce 140.12 Ce.upf
CELL_PARAMETERS angstrom
-1.191 -2.933 3.725
3.070 -3.534 1.406
2.370 0.373 4.259
ATOMIC_POSITIONS angstrom
Pm 0.000 0.000 0.000
Rh 3.187 -4.570 7.043
Co 1.062 -1.523 2.348
Ce 2.125 -3.047 4.695

[8]
! CePmCoRu PBE relaxed; values from VASP
! energy of formation from the pure elements	-0.13	eV/atom
! total energy	-27.59	eV for the cell shown
! Fermi-level density of states	2.5	states/eV/cell
&SYSTEM
  ibrav = 0, nat = 4, ntyp = 4
/
ATOMIC_SPECIES
Ce 140.12 Ce.upf
Pm 145.00 Pm.upf
Ru 101.07 Ru.upf
Co 58.93 Co.upf
CELL_PARAMETERS angstrom
-0.215 2.656 -4.083
3.410 -0.540 -3.442
-1.129 -2.130 -4.238
ATOMIC_POSITIONS angstrom
Ce 1.549 -0.010 -8.822
Pm 0.516 -0.003 -2.941
Ru 0.000 0.000 0.000
Co 1.033 -0.007 -5.881